Entry 1:
Dy2YEr2S7: relaxed, PBE.

Unit cell a=6.6989 b=6.6989 c=11.5572 alpha=103.99 beta=103.99 gamma=32.86
Fractional coordinates of all 12 atoms:
Dy 0.1120 0.1120 0.4209
Dy 0.8880 0.8880 0.5791
Y 0.0000 0.0000 0.0000
Er 0.3000 0.3000 0.1868
Er 0.7000 0.7000 0.8132
S 0.0434 0.0434 0.7849
S 0.2587 0.2587 0.6489
S 0.3391 0.3391 0.9485
S 0.5000 0.5000 0.5000
S 0.6609 0.6609 0.0515
S 0.7413 0.7413 0.3511
S 0.9566 0.9566 0.2151

The crystal system is monoclinic.


Entry 2:
Dy2YEr2S7: relaxed, PBE.

Unit cell a=6.6663 b=6.6663 c=11.5606 alpha=103.97 beta=103.97 gamma=33.08
Fractional coordinates of all 12 atoms:
Dy 0.1997 0.1997 0.3115
Dy 0.8003 0.8003 0.6885
Y 0.5000 0.5000 0.5000
Er 0.3880 0.3880 0.0781
Er 0.6120 0.6120 0.9219
S 0.0000 0.0000 0.0000
S 0.1602 0.1602 0.5513
S 0.2398 0.2398 0.8545
S 0.4600 0.4600 0.7171
S 0.5400 0.5400 0.2829
S 0.7602 0.7602 0.1455
S 0.8398 0.8398 0.4487

The crystal system is monoclinic.


Number 1: final energy -6.537 eV per atom. Number 2: final energy -6.551 eV per atom.